Entry 1:
First-principles (PBE) data for a geometry-optimized Ca2BeN structure, as listed in Alexandria via LeMat-Bulk.

Structure (extended XYZ):
```
8
Lattice="-2.774 -5.198 -3.794 -2.198 -3.117 5.878 -5.645 -2.321 0.835" Properties=species:S:1:pos:R:3 pbc="T T T"
Be -2.486 -4.157 1.042
Be -5.165 -4.798 3.878
Ca -3.663 -4.675 -1.761
Ca -2.888 -2.722 3.742
Ca -5.905 -4.585 0.892
Ca -8.778 -9.290 2.967
N 0.000 0.000 0.000
N -5.453 -5.838 -0.958
```

Properties
The value obtained for the calculated total energy is -3.870 eV/atom. The uncorrected formation energy comes out at 0.14 eV/atom. As for the polymorph energy (0 for the lowest one): 0 kJ/mol of formula units. Its space group is I-42d, No. 122.


Entry 2:
First-principles (PBE) data for a geometry-optimized Ca2BeN2 structure, as listed in Alexandria via LeMat-Bulk.

Structure (extended XYZ):
```
10
Lattice="4.776 0.000 0.000 2.388 5.365 -0.685 2.388 1.027 5.612" Properties=species:S:1:pos:R:3 pbc="T T T"
Ca 4.776 1.528 2.485
Ca 4.776 4.864 2.443
Ca 2.388 3.451 0.684
Ca 7.165 2.940 4.244
Be 2.388 0.655 0.775
Be 7.165 5.737 4.153
N 2.388 1.597 2.116
N 7.165 4.795 2.812
N 4.776 2.148 4.779
N 4.776 4.244 0.149
```

Properties
The value obtained for the calculated total energy is -5.825 eV/atom. The uncorrected formation energy comes out at -0.95 eV/atom. As for the polymorph energy (0 for the lowest one): 0 kJ/mol of formula units. Its space group is C2/m, No. 12.


Entry 3:
First-principles (PBE) data for a geometry-optimized CaBeN2 structure, as listed in Alexandria via LeMat-Bulk.

Structure (extended XYZ):
```
4
Lattice="-1.186 -1.740 5.710 2.338 -2.177 5.180 1.021 1.084 5.901" Properties=species:S:1:pos:R:3 pbc="T T T"
Be 0.000 0.000 0.000
Ca 1.087 -1.416 8.395
N 1.979 -2.580 15.293
N 0.194 -0.253 1.498
```

Properties
The value obtained for the calculated total energy is -5.515 eV/atom. The uncorrected formation energy comes out at 0.08 eV/atom. Its space group is R-3m, No. 166.


Entry 4:
First-principles (PBE) data for a geometry-optimized Ca3BeN3 structure, as listed in Alexandria via LeMat-Bulk.

Structure (extended XYZ):
```
28
Lattice="-3.343 4.013 -0.099 -1.008 -4.397 -6.385 -6.609 -5.389 4.754" Properties=species:S:1:pos:R:3 pbc="T T T"
Ca -7.767 -1.935 3.953
Ca -5.114 1.541 1.557
Ca -4.839 -2.917 3.099
Ca -2.185 0.559 0.702
Ca -3.204 -4.727 -2.388
Ca -7.674 -4.348 1.851
Ca -4.158 1.296 -1.710
Ca -6.885 -3.766 -1.212
Ca -7.757 -1.046 0.659
Ca -3.286 -1.424 -3.580
Ca -6.802 -7.068 -0.020
Ca -4.076 -2.007 -0.517
Be -5.588 -4.731 -3.106
Be -0.396 -0.353 -0.951
Be -5.373 -1.041 1.376
Be -3.955 -0.030 -5.532
N -6.666 -4.098 4.298
N -3.706 -0.989 1.911
N -6.247 -0.386 2.745
N -3.287 2.722 0.358
N -5.028 -2.990 -2.645
N -9.398 -2.238 2.157
N -2.198 -0.604 -1.449
N -5.297 -5.713 -1.522
N -5.933 -2.782 0.916
N -1.562 -3.534 -3.886
N -8.762 -5.169 -0.281
N -5.664 -0.060 -0.208
```

Properties
The value obtained for the calculated total energy is -5.684 eV/atom. The uncorrected formation energy comes out at -0.73 eV/atom. Its space group is Cmce, No. 64.


Entry 5:
First-principles (PBE) data for a geometry-optimized CaBeN2 structure, as listed in Alexandria via LeMat-Bulk.

Structure (extended XYZ):
```
8
Lattice="4.068 0.000 0.000 0.000 4.068 0.000 2.034 2.034 5.299" Properties=species:S:1:pos:R:3 pbc="T T T"
Be 2.034 2.034 0.000
Be 2.034 4.068 2.649
Ca 0.000 0.000 0.000
Ca 4.068 2.034 2.649
N 2.230 1.017 1.325
N 1.838 3.051 1.325
N 3.051 3.872 3.974
N 5.085 4.264 3.974
```

Properties
The value obtained for the calculated total energy is -6.062 eV/atom. The uncorrected formation energy comes out at -0.47 eV/atom. Its space group is I-42d, No. 122.


Entry 6:
First-principles (PBE) data for a geometry-optimized CaBeN3 structure, as listed in Alexandria via LeMat-Bulk.

Structure (extended XYZ):
```
5
Lattice="3.607 0.000 0.000 0.000 3.607 0.000 0.000 0.000 3.607" Properties=species:S:1:pos:R:3 pbc="T T T"
Be 0.000 0.000 0.000
Ca 1.804 1.804 1.804
N 0.000 1.804 0.000
N 0.000 0.000 1.804
N 1.804 0.000 0.000
```

Properties
The value obtained for the calculated total energy is -5.539 eV/atom. The uncorrected formation energy comes out at 0.60 eV/atom. Its space group is Pm-3m, No. 221.


- Which of these has the highest calculated total energy?
  Ca2BeN


- Look up the calculated total energy of the third one.
  -5.515 eV/atom


- What is the calculated total energy in the fourth record?
  -5.684 eV/atom